[1]
A relaxed structure of ErUNi10. Source: Alexandria, functional PBE.

Geometry as CIF:
```
data_ErUNi10
_cell_length_a 3.9768
_cell_length_b 4.8384
_cell_length_c 8.3401
_cell_angle_alpha 90.00
_cell_angle_beta 90.00
_cell_angle_gamma 90.00
_space_group_name_H-M_alt 'P m m m'
_space_group_IT_number 47
loop_
_space_group_symop_operation_xyz
'x,y,z'
'-x,-y,-z'
'-x,-y,z'
'x,y,-z'
'x,-y,-z'
'-x,y,z'
'-x,y,-z'
'x,-y,z'
loop_
_atom_site_label
_atom_site_type_symbol
_atom_site_fract_x
_atom_site_fract_y
_atom_site_fract_z
_atom_site_occupancy
Er1 Er 0.0000 0.0000 0.0000 1
U1 U 0.0000 0.5000 0.5000 1
Ni1 Ni 0.0000 0.0000 0.3373 1
Ni2 Ni 0.0000 0.5000 0.1749 1
Ni3 Ni 0.5000 0.0000 0.5000 1
Ni4 Ni 0.5000 0.2523 0.2529 1
Ni5 Ni 0.5000 0.5000 0.0000 1
```

Properties
Density, g/cm³: 10.267
ΔH_f (0 K), eV per atom: -0.283
Crystal system: orthorhombic

=====

[2]
A relaxed structure of Nd2Tl2Hg3. Source: Alexandria, functional PBE.

Geometry as CIF:
```
data_Nd2Tl2Hg3
_cell_length_a 9.3853
_cell_length_b 9.3853
_cell_length_c 9.3853
_cell_angle_alpha 90.00
_cell_angle_beta 90.00
_cell_angle_gamma 90.00
_space_group_name_H-M_alt 'I 21 3'
_space_group_IT_number 199
_space_group_name_Hall 'I 2b 2c 3'
loop_
_atom_site_label
_atom_site_type_symbol
_atom_site_fract_x
_atom_site_fract_y
_atom_site_fract_z
_atom_site_occupancy
Nd1 Nd 0.0148 0.0148 0.0148 1
Tl1 Tl 0.1805 0.3195 0.6805 1
Hg1 Hg 0.0000 0.2500 0.2665 1
```

Properties
Density, g/cm³: 10.437
ΔH_f (0 K), eV per atom: -0.185
Crystal system: cubic

=====

[3]
A relaxed structure of YHgPd4. Source: Alexandria, functional PBE.

Geometry as CIF:
```
data_YHgPd4
_cell_length_a 3.9918
_cell_length_b 5.1332
_cell_length_c 6.0772
_cell_angle_alpha 108.65
_cell_angle_beta 90.01
_cell_angle_gamma 112.76
_space_group_name_H-M_alt 'P -1'
_space_group_IT_number 2
loop_
_space_group_symop_operation_xyz
'x,y,z'
'-x,-y,-z'
loop_
_atom_site_label
_atom_site_type_symbol
_atom_site_fract_x
_atom_site_fract_y
_atom_site_fract_z
_atom_site_occupancy
Y1 Y 0.0000 0.0000 0.0000 1
Hg1 Hg 0.0000 0.0000 0.5000 1
Pd1 Pd 0.3310 0.6628 0.6656 1
Pd2 Pd 0.3328 0.6647 0.1735 1
```

Properties
Density, g/cm³: 11.027
ΔH_f (0 K), eV per atom: -0.534
Crystal system: triclinic